# 1
Density functional theory data (PBE-GGA) for crystalline La2TmPb at its relaxed geometry.

Calculated values
* electronic total energy: -4.8358 eV per atom

Unit cell a=5.102 b=4.942 c=4.942 alpha=90.00 beta=90.00 gamma=90.00
Element x y z (fractional)
Pb: 0.500 0.000 0.000
La: 0.000 0.500 0.000
La: 0.000 0.000 0.500
Tm: 0.500 0.500 0.500

---

# 2
Density functional theory data (PBE-GGA) for crystalline FeSiNiPt at its relaxed geometry.

Calculated values
* ΔE_f (raw): -0.301 eV/atom
* electronic total energy: -6.7279 eV per atom

Unit cell a=4.142 b=4.142 c=4.142 alpha=60.00 beta=60.00 gamma=60.00
Each line ends with the local moment (μB).
Element x y z (fractional)
Fe: 0.250 0.250 0.250  2.33
Pt: 0.750 0.750 0.750  0.10
Si: 0.000 0.000 0.000  -0.04
Ni: 0.500 0.500 0.500  0.50

---

# 3
Density functional theory data (PBE-GGA) for crystalline RbMnRe3 at its relaxed geometry.

Calculated values
* electronic total energy: -5.0938 eV per atom

Unit cell a=4.601 b=4.601 c=4.601 alpha=90.00 beta=90.00 gamma=90.00
Each line ends with the local moment (μB).
Element x y z (fractional)
Mn: 0.500 0.500 0.500  0.20
Rb: 0.000 0.000 0.000  0.01
Re: 0.500 0.000 0.000  0.00
Re: 0.000 0.000 0.500  0.04
Re: 0.000 0.500 0.000  0.00

---

# 4
Density functional theory data (PBE-GGA) for crystalline Tm2InAu4 at its relaxed geometry.

Calculated values
* electronic total energy: -4.1438 eV per atom

Unit cell a=4.843 b=4.843 c=8.404 alpha=73.25 beta=73.25 gamma=60.00
Element x y z (fractional)
Au: 0.127 0.127 0.618
Au: 0.623 0.623 0.132
Au: 0.377 0.377 0.868
Au: 0.873 0.873 0.382
Tm: 0.249 0.249 0.254
Tm: 0.751 0.751 0.746
In: 0.000 0.000 0.000

---

# 5
Density functional theory data (PBE-GGA) for crystalline BaCa2Ni at its relaxed geometry.

Calculated values
* electronic total energy: -2.5926 eV per atom

Unit cell a=8.274 b=8.274 c=8.190 alpha=59.66 beta=59.66 gamma=90.00
Element x y z (fractional)
Ca: 0.375 0.624 0.750
Ca: 0.875 0.626 0.750
Ca: 0.374 0.625 0.250
Ca: 0.376 0.125 0.250
Ba: 0.000 0.000 0.000
Ba: 0.750 0.250 0.500
Ni: 0.500 0.500 0.000
Ni: 0.250 0.750 0.500

---

# 6
Density functional theory data (PBE-GGA) for crystalline CaGa3Ge3 at its relaxed geometry.

Calculated values
* electronic total energy: -3.7175 eV per atom

Unit cell a=4.081 b=10.223 c=10.224 alpha=120.00 beta=90.00 gamma=90.00
Element x y z (fractional)
Ge: 0.250 0.583 0.675
Ge: 0.750 0.909 0.583
Ge: 0.250 0.325 0.909
Ge: 0.750 0.417 0.325
Ge: 0.250 0.091 0.417
Ge: 0.750 0.675 0.091
Ga: 0.750 0.408 0.074
Ga: 0.750 0.666 0.592
Ga: 0.250 0.592 0.926
Ga: 0.250 0.334 0.408
Ga: 0.250 0.075 0.666
Ga: 0.750 0.925 0.334
Ca: 0.750 0.333 0.667
Ca: 0.250 0.667 0.333

---

# 7
Density functional theory data (PBE-GGA) for crystalline RbCa2RhPb at its relaxed geometry.

Calculated values
* electronic total energy: -3.4299 eV per atom

Unit cell a=5.648 b=5.648 c=5.366 alpha=90.00 beta=90.00 gamma=90.00
Element x y z (fractional)
Pb: 0.000 0.000 0.500
Ca: 0.000 0.500 0.000
Ca: 0.500 0.000 0.000
Rh: 0.000 0.000 0.000
Rb: 0.500 0.500 0.500

---

# 8
Density functional theory data (PBE-GGA) for crystalline CuHgP3 at its relaxed geometry.

Calculated values
* electronic total energy: -3.2588 eV per atom

Unit cell a=4.577 b=4.577 c=4.577 alpha=90.00 beta=90.00 gamma=90.00
Element x y z (fractional)
Hg: 0.500 0.500 0.500
P: 0.000 0.500 0.000
P: 0.500 0.000 0.000
P: 0.000 0.000 0.500
Cu: 0.000 0.000 0.000

---

# 9
Density functional theory data (PBE-GGA) for crystalline ZnCuC2 at its relaxed geometry.

Calculated values
* electronic total energy: -4.3803 eV per atom

Unit cell a=3.592 b=3.592 c=6.999 alpha=75.13 beta=75.13 gamma=90.00
Element x y z (fractional)
Zn: 0.000 0.000 0.000
Zn: 0.750 0.250 0.500
C: 0.375 0.480 0.750
C: 0.230 0.625 0.250
C: 0.520 0.125 0.250
C: 0.875 0.770 0.750
Cu: 0.250 0.750 0.500
Cu: 0.500 0.500 0.000

---

# 10
Density functional theory data (PBE-GGA) for crystalline CeSmPt at its relaxed geometry.

Calculated values
* electronic total energy: -6.1215 eV per atom

Unit cell a=3.919 b=4.696 c=4.696 alpha=120.00 beta=90.00 gamma=90.00
Each line ends with the local moment (μB).
Element x y z (fractional)
Sm: 0.697 0.667 0.333  0.01
Ce: 0.299 0.333 0.667  0.32
Pt: 0.004 0.000 0.000  -0.01

---

# 11
Density functional theory data (PBE-GGA) for crystalline ZnNiH at its relaxed geometry.

Calculated values
* electronic total energy: -3.5143 eV per atom

Unit cell a=2.719 b=4.607 c=4.435 alpha=92.57 beta=90.00 gamma=90.00
Element x y z (fractional)
Zn: 0.250 0.722 0.905
Zn: 0.750 0.278 0.095
H: 0.250 0.935 0.329
H: 0.750 0.065 0.671
Ni: 0.250 0.251 0.580
Ni: 0.750 0.749 0.420

---

# 12
Density functional theory data (PBE-GGA) for crystalline LaLuHfTh at its relaxed geometry.

Calculated values
* electronic total energy: -6.5210 eV per atom

Unit cell a=5.496 b=5.496 c=5.496 alpha=60.00 beta=60.00 gamma=60.00
Element x y z (fractional)
Th: 0.000 0.000 0.000
La: 0.500 0.500 0.500
Hf: 0.250 0.250 0.250
Lu: 0.750 0.750 0.750